Record 1
# Li4HfU3N8

A relaxed structure of Li4HfU3N8 (GGA-PBE, Alexandria).

Unit cell a=6.4228 b=6.4228 c=6.4228 alpha=64.02 beta=64.02 gamma=64.02
Atoms (fractional coordinates):
Li1 0.0000 0.0000 0.0000
Li2 0.0000 0.5000 0.5000
Li3 0.5000 0.0000 0.5000
Li4 0.5000 0.5000 0.0000
Hf1 0.5000 0.5000 0.5000
U1 0.0000 0.0000 0.5000
U2 0.0000 0.5000 0.0000
U3 0.5000 0.0000 0.0000
N1 0.2350 0.7368 0.7368
N2 0.2370 0.2370 0.2370
N3 0.2632 0.2632 0.7650
N4 0.2632 0.7650 0.2632
N5 0.7368 0.2350 0.7368
N6 0.7368 0.7368 0.2350
N7 0.7630 0.7630 0.7630
N8 0.7650 0.2632 0.2632

Summary:
Spin magnetization = 2.1 μB per formula unit
Energy relative to the elements, uncorrected = -1158 meV/atom

=====

Record 2
# LiHfUN3

A relaxed structure of LiHfUN3 (GGA-PBE, Alexandria).

Unit cell a=6.6912 b=3.1971 c=6.9115 alpha=90.00 beta=103.55 gamma=90.00
Atoms (fractional coordinates):
Li1 0.0876 0.2500 0.0826
Li2 0.9124 0.7500 0.9174
Hf1 0.3230 0.7500 0.3389
Hf2 0.6770 0.2500 0.6611
U1 0.2776 0.7500 0.8091
U2 0.7224 0.2500 0.1909
N1 0.0135 0.2500 0.7951
N2 0.3352 0.2500 0.5670
N3 0.3748 0.2500 0.1244
N4 0.6252 0.7500 0.8756
N5 0.6648 0.7500 0.4330
N6 0.9865 0.7500 0.2049

Summary:
Spin magnetization = 1.5 μB per formula unit
Energy relative to the elements, uncorrected = -1189 meV/atom

=====

Record 3
# LiHfVN2

A relaxed structure of LiHfVN2 (GGA-PBE, Alexandria).

Unit cell a=4.2071 b=4.2071 c=5.3387 alpha=90.00 beta=90.00 gamma=90.00
Atoms (fractional coordinates):
Li1 0.0000 0.0000 0.0000
Hf1 0.5000 0.5000 0.5000
V1 0.5000 0.5000 0.0000
N1 0.0000 0.5000 0.5000
N2 0.5000 0.0000 0.5000

Summary:
Spin magnetization = 2.8 μB per formula unit
Energy relative to the elements, uncorrected = 921 meV/atom

=====

Record 4
# Li2HfWN

A relaxed structure of Li2HfWN (GGA-PBE, Alexandria).

Unit cell a=4.6893 b=4.6893 c=3.8406 alpha=90.00 beta=90.00 gamma=90.00
Atoms (fractional coordinates):
Li1 0.0000 0.5000 0.0000
Li2 0.5000 0.0000 0.0000
Hf1 0.0000 0.0000 0.5000
W1 0.5000 0.5000 0.0000
N1 0.5000 0.5000 0.5000

Summary:
Spin magnetization = 0.0 μB per formula unit
Energy relative to the elements, uncorrected = 968 meV/atom

=====

Record 5
# LiY2Hf3N6

A relaxed structure of LiY2Hf3N6 (GGA-PBE, Alexandria).

Unit cell a=7.3650 b=7.3650 c=6.6629 alpha=104.50 beta=104.50 gamma=25.70
Atoms (fractional coordinates):
Li1 0.0000 0.0000 0.0000
Y1 0.3386 0.3386 0.6783
Y2 0.6614 0.6614 0.3217
Hf1 0.0000 0.0000 0.5000
Hf2 0.3391 0.3391 0.1646
Hf3 0.6609 0.6609 0.8354
N1 0.1617 0.1617 0.5954
N2 0.1715 0.1715 0.0668
N3 0.4932 0.4932 0.2717
N4 0.5068 0.5068 0.7283
N5 0.8285 0.8285 0.9332
N6 0.8383 0.8383 0.4046

Summary:
Spin magnetization = 0.0 μB per formula unit
Energy relative to the elements, uncorrected = -1666 meV/atom

=====

Record 6
# LiHf2ZnN

A relaxed structure of LiHf2ZnN (GGA-PBE, Alexandria).

Unit cell a=4.3944 b=4.3944 c=3.9067 alpha=90.00 beta=90.00 gamma=90.00
Atoms (fractional coordinates):
Li1 0.0000 0.0000 0.0000
Hf1 0.0000 0.5000 0.5000
Hf2 0.5000 0.0000 0.5000
Zn1 0.5000 0.5000 0.0000
N1 0.0000 0.0000 0.5000

Summary:
Spin magnetization = 0.0 μB per formula unit
Energy relative to the elements, uncorrected = -697 meV/atom

=====

Record 7
# LiHf4Zr3N8

A relaxed structure of LiHf4Zr3N8 (GGA-PBE, Alexandria).

Unit cell a=6.4381 b=6.4381 c=6.4381 alpha=59.92 beta=59.92 gamma=59.92
Atoms (fractional coordinates):
Li1 0.0000 0.0000 0.0000
Hf1 0.0000 0.0000 0.5000
Hf2 0.0000 0.5000 0.0000
Hf3 0.5000 0.0000 0.0000
Hf4 0.5000 0.5000 0.5000
Zr1 0.0000 0.5000 0.5000
Zr2 0.5000 0.0000 0.5000
Zr3 0.5000 0.5000 0.0000
N1 0.2459 0.2459 0.2459
N2 0.2474 0.7455 0.7455
N3 0.2545 0.2545 0.7526
N4 0.2545 0.7526 0.2545
N5 0.7455 0.2474 0.7455
N6 0.7455 0.7455 0.2474
N7 0.7526 0.2545 0.2545
N8 0.7541 0.7541 0.7541

Summary:
Spin magnetization = 0.0 μB per formula unit
Energy relative to the elements, uncorrected = -1679 meV/atom

=====

Record 8
# LiHf3Zr2N6

A relaxed structure of LiHf3Zr2N6 (GGA-PBE, Alexandria).

Unit cell a=7.1657 b=7.1657 c=6.4500 alpha=103.01 beta=103.01 gamma=25.87
Atoms (fractional coordinates):
Li1 0.0000 0.0000 0.0000
Hf1 0.0000 0.0000 0.5000
Hf2 0.3403 0.3403 0.1632
Hf3 0.6597 0.6597 0.8368
Zr1 0.3369 0.3369 0.6713
Zr2 0.6631 0.6631 0.3287
N1 0.1642 0.1642 0.5914
N2 0.1693 0.1693 0.0783
N3 0.4992 0.4992 0.2612
N4 0.5008 0.5008 0.7388
N5 0.8307 0.8307 0.9217
N6 0.8358 0.8358 0.4086

Summary:
Spin magnetization = 0.0 μB per formula unit
Energy relative to the elements, uncorrected = -1655 meV/atom